Entry 1:
The following is a PBE calculation of crystalline DyY2Ho3P2Os at its relaxed geometry, from OQMD.

Unit cell a=4.1360 b=13.4353 c=7.6946 alpha=90.00 beta=90.00 gamma=90.00
Closest atoms and distances in Å follow each position.
Space group Amm2 (No. 38)
Unique sites:
Dy 0.0000 0.0000 0.0000 (multiplicity 2)  4 P 3.14, 1 Os 3.14, 6 Ho 3.33-3.44
Y 0.0000 0.2050 0.6142 (multiplicity 4)  4 P 3.11-3.12, 1 Os 3.18, 6 Ho 3.35-3.46
Ho 0.5000 0.0000 0.6600 (multiplicity 2)  2 Os 2.83, 2 P 2.95
Ho 0.5000 0.1241 0.2837 (multiplicity 4)  2 Os 2.82, 2 P 2.95-2.96
P 0.5000 0.1675 0.9084 (multiplicity 4)  3 Ho 2.95-2.96, 4 Y 3.11-3.12, 2 Dy 3.14
Os 0.0000 0.0000 0.4085 (multiplicity 2)  6 Ho 2.82-2.83, 1 Dy 3.14

- calculated volume (Å³ per cell) = 427.6
- VASP energy (eV per atom) = -6.6642



Entry 2:
The following is a PBE calculation of crystalline Lu4Ta2Sb3N3 at its relaxed geometry, from OQMD.

Unit cell a=10.2995 b=6.0052 c=14.0815 alpha=90.00 beta=104.05 gamma=90.00
Closest atoms and distances in Å follow each position.
Space group C2/c (No. 15)
Unique sites:
Lu 0.1140 0.0832 0.0904 (multiplicity 8)  3 N 2.33-2.35
Lu 0.2192 0.0826 0.4097 (multiplicity 8)  3 N 2.34-2.35
Ta 0.0544 0.4194 0.9222 (multiplicity 8)  3 N 2.24-2.29
Sb 0.0000 0.1102 0.7500 (multiplicity 4)  2 Ta 3.00, 4 Lu 3.00-3.01, 2 Sb 3.19
Sb 0.1537 0.4285 0.2493 (multiplicity 8)  2 Ta 2.96-3.00, 4 Lu 3.00-3.02, 2 Sb 3.17-3.19
N 0.0834 0.2500 0.5002 (multiplicity 8)  2 Ta 2.24-2.25, 4 Lu 2.34-2.35
N 0.2500 0.2500 0.0000 (multiplicity 4)  2 Ta 2.29, 4 Lu 2.33-2.35

- calculated volume (Å³ per cell) = 844.9
- VASP energy (eV per atom) = -7.5374



Entry 3:
The following is a PBE calculation of crystalline ZrU at its relaxed geometry, from OQMD.

Unit cell a=6.1850 b=6.1850 c=5.3978 alpha=90.00 beta=90.00 gamma=120.00
Closest atoms and distances in Å follow each position.
Space group P-6m2 (No. 187)
Unique sites:
Zr 0.0000 0.0000 0.0000 (multiplicity 1)  6 U 3.09, 6 Zr 3.24
Zr 0.1677 0.3353 0.5000 (multiplicity 3)  6 Zr 3.07-3.24, 6 U 3.09-3.22
U 0.0105 0.5053 0.0000 (multiplicity 3)  6 U 2.99-3.27, 6 Zr 3.09-3.22
U 0.6667 0.3333 0.5000 (multiplicity 1)  6 Zr 3.09, 6 U 3.27

- E_form (eV per atom) = 0.331
- calculated volume (Å³ per cell) = 178.8
- energy above the most stable polymorph in this dataset (eV per atom) = 0.216
- VASP energy (eV per atom) = -9.5905



Entry 4:
The following is a PBE calculation of crystalline OsOF2 at its relaxed geometry, from OQMD.

Unit cell a=5.3474 b=3.6683 c=11.0290 alpha=90.00 beta=115.18 gamma=90.00
Closest atoms and distances in Å follow each position.
Space group P2/c (No. 13)
Unique sites:
Os 0.1469 0.2486 0.1943 (multiplicity 4)  2 O 1.84, 2 F 1.89-1.98
O 0.1608 0.2514 0.6951 (multiplicity 4)  2 Os 1.84
F 0.1602 0.2493 0.4747 (multiplicity 4)  1 Os 1.89
F 0.4935 0.2487 0.3619 (multiplicity 4)  1 Os 1.98

- calculated volume (Å³ per cell) = 195.8
- energy above the most stable polymorph in this dataset (eV per atom) = 0.000
- VASP energy (eV per atom) = -6.2539



Entry 5:
The following is a PBE calculation of crystalline TcSnGe2 at its relaxed geometry, from OQMD.

Unit cell a=6.6297 b=6.6297 c=6.6297 alpha=90.00 beta=90.00 gamma=90.00
Closest atoms and distances in Å follow each position.
Space group F-43m (No. 216)
Unique sites:
Tc 0.0000 0.0000 0.0000 (multiplicity 4)  4 Ge 2.87, 4 Sn 2.87
Sn 0.2500 0.2500 0.7500 (multiplicity 4)  4 Ge 2.87, 4 Tc 2.87
Ge 0.0000 0.0000 0.5000 (multiplicity 4)  4 Sn 2.87, 4 Ge 2.87
Ge 0.2500 0.2500 0.2500 (multiplicity 4)  4 Ge 2.87, 4 Tc 2.87

- calculated volume (Å³ per cell) = 291.4
- VASP energy (eV per atom) = -5.4280



Entry 6:
The following is a PBE calculation of crystalline Pr2DyS3 at its relaxed geometry, from OQMD.

Unit cell a=4.0139 b=4.0139 c=9.9860 alpha=90.00 beta=90.00 gamma=120.00
Closest atoms and distances in Å follow each position.
Space group P-3m1 (No. 164)
Unique sites:
Pr 0.3333 0.6667 0.1704 (multiplicity 2)  6 S 2.88-2.92
Dy 0.0000 0.0000 0.5000 (multiplicity 1)  6 S 2.77
S 0.0000 0.0000 0.0000 (multiplicity 1)  6 Pr 2.88
S 0.3333 0.6667 0.6522 (multiplicity 2)  3 Dy 2.77, 3 Pr 2.92

- calculated volume (Å³ per cell) = 139.3
- VASP energy (eV per atom) = -6.4366



Entry 7:
The following is a PBE calculation of crystalline ZrScH4 at its relaxed geometry, from OQMD.

Unit cell a=4.7740 b=4.7740 c=9.4180 alpha=90.00 beta=90.00 gamma=90.00
Closest atoms and distances in Å follow each position.
Space group I4_1/amd (No. 141, origin choice 2)
Unique sites:
Zr 0.0000 0.2500 0.3750 (multiplicity 4)  8 H 2.06
Sc 0.0000 0.2500 0.8750 (multiplicity 4)  8 H 2.06
H 0.2498 0.0000 0.0000 (multiplicity 16)  2 Sc 2.06, 2 Zr 2.06

- calculated volume (Å³ per cell) = 214.6
- VASP energy (eV per atom) = -5.3601



Entry 8:
The following is a PBE calculation of crystalline TaCuSnIr at its relaxed geometry, from OQMD.

Unit cell a=6.4052 b=6.4052 c=6.4052 alpha=90.00 beta=90.00 gamma=90.00
Closest atoms and distances in Å follow each position.
Space group F-43m (No. 216)
Unique sites:
Ta 0.0000 0.0000 0.0000 (multiplicity 4)  4 Ir 2.77, 4 Cu 2.77
Cu 0.2500 0.2500 0.7500 (multiplicity 4)  4 Ta 2.77, 4 Sn 2.77
Sn 0.0000 0.0000 0.5000 (multiplicity 4)  4 Cu 2.77, 4 Ir 2.77
Ir 0.2500 0.2500 0.2500 (multiplicity 4)  4 Ta 2.77, 4 Sn 2.77

- calculated volume (Å³ per cell) = 262.8
- energy above the most stable polymorph in this dataset (eV per atom) = 0.000
- VASP energy (eV per atom) = -7.1739